Record 1
VASP calculation (GGA-PBE) on crystalline MgAl2Cu5 at its relaxed geometry.

Computed properties:
The calculation puts the total magnetization at 0.00 μB/cell. The space group is Immm. The theoretical density is 5.97 g cm⁻³. For the electronic total energy, the calculation gives -3.789 eV per atom. The density of states at the Fermi level comes out at 2.41 states/eV/cell. Its crystal system is orthorhombic.

Cell: 6.585 6.585 6.585 Å, 156.10 105.01 80.02°
Fractional coordinates of all 8 atoms:
Mg  0.000  0.000  0.000
Al  0.256  0.756  0.500
Al  0.744  0.244  0.500
Cu  0.139  0.370  0.769
Cu  0.399  0.630  0.769
Cu  0.500  0.000  0.500
Cu  0.601  0.370  0.231
Cu  0.861  0.630  0.231


Record 2
VASP calculation (GGA-PBE) on crystalline MgAl2Cu at its relaxed geometry.

Computed properties:
The calculation puts the total magnetization at 0.00 μB/cell. The space group is P4mm. The theoretical density is 3.59 g cm⁻³. For the electronic total energy, the calculation gives -3.329 eV per atom. The density of states at the Fermi level comes out at 1.34 states/eV/cell. Its crystal system is tetragonal.

Cell: 3.098 3.098 6.830 Å, 90.00 90.00 90.00°
Fractional coordinates of all 4 atoms:
Mg  0.000  0.000  0.000
Al  0.000  0.000  0.558
Al  0.500  0.500  0.300
Cu  0.500  0.500  0.747


Record 3
VASP calculation (GGA-PBE) on crystalline Mg2AlCu at its relaxed geometry.

Computed properties:
The calculation puts the total magnetization at 0.00 μB/cell. The space group is R3m. The theoretical density is 3.19 g cm⁻³. For the electronic total energy, the calculation gives -2.753 eV per atom. The density of states at the Fermi level comes out at 0.47 states/eV/cell. Its crystal system is trigonal.

Cell: 9.241 9.241 9.241 Å, 18.90 18.90 18.90°
Fractional coordinates of all 4 atoms:
Mg  0.000  0.000  0.000
Mg  0.234  0.234  0.234
Al  0.754  0.754  0.754
Cu  0.489  0.489  0.489


Record 4
VASP calculation (GGA-PBE) on crystalline Mg16Al12Cu at its relaxed geometry.

Computed properties:
The calculation puts the total magnetization at 0.00 μB/cell. The space group is Cm. As for the energy relative to the lowest polymorph listed for this composition: 0.000 eV/atom. The theoretical density is 2.25 g cm⁻³. For the electronic total energy, the calculation gives -2.602 eV per atom. The density of states at the Fermi level comes out at 9.66 states/eV/cell. Its crystal system is monoclinic.

Cell: 9.037 9.037 9.034 Å, 109.29 109.29 109.29°
Fractional coordinates of all 29 atoms:
Mg  0.000  0.000  0.000
Mg  0.002  0.319  0.604
Mg  0.006  0.353  0.002
Mg  0.006  0.603  0.324
Mg  0.009  0.009  0.353
Mg  0.297  0.682  0.693
Mg  0.319  0.002  0.604
Mg  0.330  0.592  0.994
Mg  0.353  0.006  0.002
Mg  0.406  0.716  0.405
Mg  0.592  0.330  0.994
Mg  0.603  0.006  0.324
Mg  0.626  0.626  0.666
Mg  0.682  0.297  0.693
Mg  0.694  0.694  0.298
Mg  0.716  0.406  0.405
Al  0.004  0.818  0.642
Al  0.009  0.638  0.824
Al  0.186  0.370  0.373
Al  0.189  0.189  0.812
Al  0.197  0.823  0.192
Al  0.365  0.365  0.179
Al  0.370  0.186  0.373
Al  0.638  0.009  0.824
Al  0.648  0.830  0.017
Al  0.818  0.004  0.642
Al  0.823  0.197  0.192
Al  0.830  0.648  0.017
Cu  0.330  0.330  0.652


Record 5
VASP calculation (GGA-PBE) on crystalline MgAl2Cu at its relaxed geometry.

Computed properties:
The calculation puts the total magnetization at 0.00 μB/cell. The space group is F-43m. The theoretical density is 3.63 g cm⁻³. For the electronic total energy, the calculation gives -3.254 eV per atom. The density of states at the Fermi level comes out at 1.36 states/eV/cell. Its crystal system is cubic.

Cell: 4.510 4.510 4.510 Å, 60.00 60.00 60.00°
Fractional coordinates of all 4 atoms:
Mg  0.000  0.000  0.000
Al  0.500  0.500  0.500
Al  0.750  0.750  0.750
Cu  0.250  0.250  0.250


Record 6
VASP calculation (GGA-PBE) on crystalline Mg2AlCu at its relaxed geometry.

Computed properties:
The calculation puts the total magnetization at 0.00 μB/cell. The space group is Imm2. The theoretical density is 3.25 g cm⁻³. For the electronic total energy, the calculation gives -2.794 eV per atom. The density of states at the Fermi level comes out at 1.53 states/eV/cell. Its crystal system is orthorhombic.

Cell: 5.658 5.658 5.658 Å, 148.72 130.42 59.80°
Fractional coordinates of all 4 atoms:
Mg  0.000  0.000  0.000
Mg  0.711  0.211  0.500
Al  0.434  0.434  0.000
Cu  0.231  0.731  0.500


Record 7
VASP calculation (GGA-PBE) on crystalline MgAlCu at its relaxed geometry.

Computed properties:
The calculation puts the total magnetization at 0.00 μB/cell. The space group is I4mm. The theoretical density is 3.96 g cm⁻³. For the electronic total energy, the calculation gives -3.230 eV per atom. The density of states at the Fermi level comes out at 0.66 states/eV/cell. Its crystal system is tetragonal.

Cell: 5.585 5.585 5.585 Å, 148.22 148.22 45.57°
Fractional coordinates of all 3 atoms:
Mg  0.000  0.000  0.000
Al  0.300  0.300  0.000
Cu  0.669  0.669  0.000


Record 8
VASP calculation (GGA-PBE) on crystalline Mg2Al5Cu6 at its relaxed geometry.

Computed properties:
The calculation puts the total magnetization at 0.00 μB/cell. The space group is Pm-3. The theoretical density is 4.97 g cm⁻³. For the electronic total energy, the calculation gives -3.818 eV per atom. The density of states at the Fermi level comes out at 12.04 states/eV/cell. Its crystal system is cubic.

Cell: 8.275 8.275 8.275 Å, 90.00 90.00 90.00°
Fractional coordinates of all 39 atoms:
Mg  0.000  0.179  0.500
Mg  0.000  0.821  0.500
Mg  0.179  0.500  0.000
Mg  0.500  0.000  0.179
Mg  0.500  0.000  0.821
Mg  0.821  0.500  0.000
Al  0.000  0.000  0.000
Al  0.000  0.500  0.334
Al  0.000  0.500  0.666
Al  0.282  0.282  0.282
Al  0.282  0.282  0.718
Al  0.282  0.718  0.282
Al  0.282  0.718  0.718
Al  0.334  0.000  0.500
Al  0.500  0.334  0.000
Al  0.500  0.666  0.000
Al  0.666  0.000  0.500
Al  0.718  0.282  0.282
Al  0.718  0.282  0.718
Al  0.718  0.718  0.282
Al  0.718  0.718  0.718
Cu  0.000  0.256  0.165
Cu  0.000  0.256  0.835
Cu  0.000  0.744  0.165
Cu  0.000  0.744  0.835
Cu  0.165  0.000  0.256
Cu  0.165  0.000  0.744
Cu  0.256  0.165  0.000
Cu  0.256  0.835  0.000
Cu  0.271  0.500  0.500
Cu  0.500  0.271  0.500
Cu  0.500  0.500  0.271
Cu  0.500  0.500  0.729
Cu  0.500  0.729  0.500
Cu  0.729  0.500  0.500
Cu  0.744  0.165  0.000
Cu  0.744  0.835  0.000
Cu  0.835  0.000  0.256
Cu  0.835  0.000  0.744


Record 9
VASP calculation (GGA-PBE) on crystalline MgAl2Cu at its relaxed geometry.

Computed properties:
The calculation puts the total magnetization at 0.00 μB/cell. The space group is Pnma. The theoretical density is 3.54 g cm⁻³. For the electronic total energy, the calculation gives -3.454 eV per atom. The density of states at the Fermi level comes out at 13.52 states/eV/cell. Its crystal system is orthorhombic.

Cell: 14.612 7.177 5.072 Å, 90.00 90.00 90.00°
Fractional coordinates of all 32 atoms:
Mg  0.110  0.250  0.250
Mg  0.140  0.750  0.044
Mg  0.360  0.250  0.544
Mg  0.390  0.750  0.750
Mg  0.610  0.250  0.250
Mg  0.640  0.750  0.456
Mg  0.860  0.250  0.956
Mg  0.890  0.750  0.750
Al  0.034  0.056  0.752
Al  0.034  0.444  0.752
Al  0.213  0.556  0.544
Al  0.213  0.944  0.544
Al  0.287  0.056  0.044
Al  0.287  0.444  0.044
Al  0.466  0.556  0.252
Al  0.466  0.944  0.252
Al  0.534  0.056  0.748
Al  0.534  0.444  0.748
Al  0.713  0.556  0.956
Al  0.713  0.944  0.956
Al  0.787  0.056  0.456
Al  0.787  0.444  0.456
Al  0.966  0.556  0.248
Al  0.966  0.944  0.248
Cu  0.069  0.750  0.542
Cu  0.181  0.250  0.761
Cu  0.319  0.750  0.261
Cu  0.431  0.250  0.042
Cu  0.569  0.750  0.958
Cu  0.681  0.250  0.739
Cu  0.819  0.750  0.239
Cu  0.931  0.250  0.458


Record 10
VASP calculation (GGA-PBE) on crystalline MgAl2Cu at its relaxed geometry.

Computed properties:
The calculation puts the total magnetization at 0.00 μB/cell. The space group is P4/mmm. The theoretical density is 3.63 g cm⁻³. For the electronic total energy, the calculation gives -3.384 eV per atom. The density of states at the Fermi level comes out at 1.37 states/eV/cell. Its crystal system is tetragonal.

Cell: 2.893 2.893 7.750 Å, 90.00 90.00 90.00°
Fractional coordinates of all 4 atoms:
Mg  0.000  0.000  0.000
Al  0.500  0.500  0.289
Al  0.500  0.500  0.711
Cu  0.000  0.000  0.500


Record 11
VASP calculation (GGA-PBE) on crystalline Mg2AlCu at its relaxed geometry.

Computed properties:
The calculation puts the total magnetization at 0.00 μB/cell. The space group is P4mm. The theoretical density is 3.27 g cm⁻³. For the electronic total energy, the calculation gives -2.826 eV per atom. The density of states at the Fermi level comes out at 1.26 states/eV/cell. Its crystal system is tetragonal.

Cell: 3.021 3.021 7.753 Å, 90.00 90.00 90.00°
Fractional coordinates of all 4 atoms:
Mg  0.000  0.000  0.000
Mg  0.500  0.500  0.314
Al  0.000  0.000  0.589
Cu  0.500  0.500  0.772


Record 12
VASP calculation (GGA-PBE) on crystalline Mg2Al2Cu3 at its relaxed geometry.

Computed properties:
The calculation puts the total magnetization at 0.00 μB/cell. The space group is C2/m. The theoretical density is 4.37 g cm⁻³. For the electronic total energy, the calculation gives -3.433 eV per atom. The density of states at the Fermi level comes out at 2.18 states/eV/cell. Its crystal system is monoclinic.

Cell: 4.210 4.210 7.650 Å, 105.83 105.83 59.99°
Fractional coordinates of all 7 atoms:
Mg  0.128  0.128  0.384
Mg  0.872  0.872  0.616
Al  0.378  0.378  0.134
Al  0.622  0.622  0.866
Cu  0.000  0.000  0.000
Cu  0.259  0.259  0.777
Cu  0.741  0.741  0.223


Record 13
VASP calculation (GGA-PBE) on crystalline MgAl9Cu3 at its relaxed geometry.

Computed properties:
The calculation puts the total magnetization at 0.00 μB/cell. The space group is C2/m. The theoretical density is 3.68 g cm⁻³. For the electronic total energy, the calculation gives -3.733 eV per atom. The density of states at the Fermi level comes out at 4.18 states/eV/cell. Its crystal system is monoclinic.

Cell: 6.906 6.906 6.852 Å, 97.55 97.55 137.31°
Fractional coordinates of all 13 atoms:
Mg  0.000  0.000  0.000
Al  0.000  0.000  0.500
Al  0.009  0.652  0.656
Al  0.293  0.511  0.789
Al  0.348  0.991  0.344
Al  0.489  0.707  0.211
Al  0.511  0.293  0.789
Al  0.652  0.009  0.656
Al  0.707  0.489  0.211
Al  0.991  0.348  0.344
Cu  0.000  0.500  0.000
Cu  0.500  0.000  0.000
Cu  0.500  0.500  0.500


Record 14
VASP calculation (GGA-PBE) on crystalline MgAlCu at its relaxed geometry.

Computed properties:
The calculation puts the total magnetization at 0.00 μB/cell. The space group is Cmcm. The theoretical density is 3.83 g cm⁻³. For the electronic total energy, the calculation gives -3.296 eV per atom. The density of states at the Fermi level comes out at 1.27 states/eV/cell. Its crystal system is orthorhombic.

Cell: 5.146 5.146 5.171 Å, 90.00 90.00 133.36°
Fractional coordinates of all 6 atoms:
Mg  0.211  0.789  0.750
Mg  0.789  0.211  0.250
Al  0.500  0.500  0.000
Al  0.500  0.500  0.500
Cu  0.076  0.924  0.250
Cu  0.924  0.076  0.750


Record 15
VASP calculation (GGA-PBE) on crystalline MgAl2Cu at its relaxed geometry.

Computed properties:
The calculation puts the total magnetization at 0.00 μB/cell. The space group is Cm. The theoretical density is 3.59 g cm⁻³. For the electronic total energy, the calculation gives -3.304 eV per atom. The density of states at the Fermi level comes out at 1.20 states/eV/cell. Its crystal system is monoclinic.

Cell: 5.155 5.155 4.832 Å, 103.72 103.72 31.82°
Fractional coordinates of all 4 atoms:
Mg  0.000  0.000  0.000
Al  0.219  0.219  0.679
Al  0.457  0.457  0.476
Cu  0.747  0.747  0.185


Record 16
VASP calculation (GGA-PBE) on crystalline Mg6AlCu2 at its relaxed geometry.

Computed properties:
The calculation puts the total magnetization at 0.00 μB/cell. The space group is Immm. The theoretical density is 2.85 g cm⁻³. For the electronic total energy, the calculation gives -2.456 eV per atom. The density of states at the Fermi level comes out at 5.44 states/eV/cell. Its crystal system is orthorhombic.

Cell: 7.722 7.722 7.722 Å, 115.90 110.97 101.85°
Fractional coordinates of all 18 atoms:
Mg  0.028  0.834  0.194
Mg  0.250  0.554  0.303
Mg  0.250  0.947  0.697
Mg  0.289  0.312  0.601
Mg  0.289  0.688  0.977
Mg  0.360  0.166  0.194
Mg  0.640  0.834  0.806
Mg  0.711  0.312  0.023
Mg  0.711  0.688  0.399
Mg  0.750  0.053  0.303
Mg  0.750  0.446  0.697
Mg  0.972  0.166  0.806
Al  0.000  0.500  0.500
Al  0.500  0.000  0.500
Cu  0.000  0.179  0.179
Cu  0.000  0.821  0.821
Cu  0.374  0.374  0.000
Cu  0.626  0.626  0.000


Record 17
VASP calculation (GGA-PBE) on crystalline MgAl2CuN at its relaxed geometry.

Computed properties:
The calculation puts the total magnetization at 1.77 μB/cell. The space group is P4/mmm. The theoretical density is 2.11 g cm⁻³. For the electronic total energy, the calculation gives -2.483 eV per atom. Its formation energy from raw total energies is 1817 meV per atom. The density of states at the Fermi level comes out at 2.08 states/eV/cell. Its crystal system is tetragonal.

Cell: 5.140 5.140 4.638 Å, 90.00 90.00 90.00°
Fractional coordinates of all 5 atoms:
Mg  0.000  0.000  0.000
Al  0.000  0.500  0.000
Al  0.500  0.000  0.000
Cu  0.000  0.000  0.500
N  0.500  0.500  0.500


Record 18
VASP calculation (GGA-PBE) on crystalline Mg2NbAlCu at its relaxed geometry.

Computed properties:
The calculation puts the total magnetization at 0.40 μB/cell. The space group is P4/mmm. The theoretical density is 3.33 g cm⁻³. For the electronic total energy, the calculation gives -3.252 eV per atom. The density of states at the Fermi level comes out at 4.09 states/eV/cell. Its crystal system is tetragonal.

Cell: 4.869 4.869 4.887 Å, 90.00 90.00 90.00°
Fractional coordinates of all 5 atoms:
Mg  0.000  0.500  0.000
Mg  0.500  0.000  0.000
Nb  0.000  0.000  0.500
Al  0.000  0.000  0.000
Cu  0.500  0.500  0.500


Record 19
VASP calculation (GGA-PBE) on crystalline NdMgAlCu at its relaxed geometry.

Computed properties:
The calculation puts the total magnetization at 0.00 μB/cell. The space group is F-43m. The theoretical density is 5.15 g cm⁻³. For the electronic total energy, the calculation gives -3.776 eV per atom. The density of states at the Fermi level comes out at 1.44 states/eV/cell. Its crystal system is cubic.

Cell: 4.908 4.908 4.908 Å, 60.00 60.00 60.00°
Fractional coordinates of all 4 atoms:
Nd  0.000  0.000  0.000
Mg  0.500  0.500  0.500
Al  0.750  0.750  0.750
Cu  0.250  0.250  0.250


Record 20
VASP calculation (GGA-PBE) on crystalline NdMgAl2Cu4 at its relaxed geometry.

Computed properties:
The calculation puts the total magnetization at 0.00 μB/cell. The space group is R-3m. The theoretical density is 5.83 g cm⁻³. For the electronic total energy, the calculation gives -4.016 eV per atom. The density of states at the Fermi level comes out at 5.38 states/eV/cell. Its crystal system is trigonal.

Cell: 9.045 9.045 9.045 Å, 27.13 27.13 27.13°
Fractional coordinates of all 8 atoms:
Nd  0.000  0.000  0.000
Mg  0.500  0.500  0.500
Al  0.241  0.241  0.241
Al  0.759  0.759  0.759
Cu  0.120  0.120  0.120
Cu  0.404  0.404  0.404
Cu  0.596  0.596  0.596
Cu  0.880  0.880  0.880